# TcSbMo (meta-GGA SCAN, single point on PBEsol structure)
data_TcSbMo
_chemical_formula_sum 'Tc4 Sb4 Mo4'
_space_group_name_H-M_alt 'F -4 3 m'
_space_group_IT_number 216
_space_group_name_Hall 'F -4 2 3'
_cell_length_a 6.078
_cell_length_b 6.078
_cell_length_c 6.078
_cell_angle_alpha 90.00
_cell_angle_beta 90.00
_cell_angle_gamma 90.00
loop_
_atom_site_label
_atom_site_type_symbol
_atom_site_fract_x
_atom_site_fract_y
_atom_site_fract_z
Tc1 Tc 0.000 0.000 0.000
Sb1 Sb 0.250 0.250 0.250
Mo1 Mo 0.250 0.250 0.750
# ρ   9.34 g cm⁻³
# M_tot   0.000 μB per formula unit
# Formation energy without anion corrections   -14 meV/atom
# Energy   -35.749 eV per atom
# Energy relative to the lowest polymorph listed for this composition   0 meV per atom